First-principles (GGA+U) data for CoPt2PbO8 after structural relaxation, as listed in Alexandria via LeMat-Bulk.

Properties
- DFT total energy: -5.2405 eV per atom
- Density: 8.3 g cm⁻³

abc: 5.383 5.383 6.246
angles: 90.00 90.00 120.00
Sites, in units of the cell vectors:
Co 0.000 0.000 0.000
Pt 0.333 0.667 0.949
Pt 0.667 0.333 0.051
Pb 0.000 0.000 0.500
O 0.057 0.347 0.142
O 0.290 0.943 0.142
O 0.333 0.667 0.635
O 0.347 0.290 0.858
O 0.653 0.710 0.142
O 0.667 0.333 0.365
O 0.710 0.057 0.858
O 0.943 0.653 0.858